1.
Material: NaGaCl4
Method: DFT, meta-GGA SCAN
State: single point on PBEsol structure

POSCAR file:
```
NaGaCl4
1.0
-0.440 -4.454 -4.219
9.345 1.342 -2.390
2.785 -6.914 7.009
Cl Na Ga
16 4 4
direct
0.327 0.228 0.089
0.677 0.922 0.128
0.823 0.078 0.628
0.180 0.742 0.217
0.673 0.728 0.411
0.680 0.758 0.783
0.864 0.441 0.599
0.177 0.578 0.872
0.636 0.559 0.099
0.364 0.059 0.401
0.320 0.258 0.717
0.136 0.941 0.901
0.827 0.272 0.911
0.173 0.772 0.589
0.820 0.242 0.283
0.323 0.422 0.372
0.936 0.965 0.371
0.564 0.035 0.871
0.436 0.535 0.629
0.064 0.465 0.129
0.465 0.236 0.285
0.535 0.736 0.215
0.965 0.264 0.715
0.035 0.764 0.785
```

Computed properties:
* energy relative to the elements, uncorrected: -1.542 eV/atom

2.
Material: Hf3NbH
Method: DFT, meta-GGA SCAN
State: single point on PBEsol structure

POSCAR file:
```
Hf3NbH
1.0
5.021 0.000 0.000
0.000 5.021 0.000
0.000 0.000 5.021
Nb Hf H
1 3 1
direct
0.000 0.000 0.000
0.500 0.000 0.000
0.000 0.500 0.000
0.000 0.000 0.500
0.500 0.500 0.500
```

Computed properties:
* excess energy over the best structure of this formula in the dataset: 162.8 kJ/mol of atoms

3.
Material: Ca2SiSe
Method: DFT, meta-GGA SCAN
State: single point on PBEsol structure

POSCAR file:
```
Ca2SiSe
1.0
-3.427 0.948 -1.188
-1.885 -2.845 3.168
1.964 4.203 3.604
Ca Si Se
2 1 1
direct
0.994 0.139 0.989
0.255 0.606 0.510
0.724 0.087 0.448
0.527 0.668 0.053
```

Computed properties:
* excess energy over the best structure of this formula in the dataset: 0.0 kJ/mol of atoms
* energy relative to the elements, uncorrected: -0.925 eV/atom

4.
Material: Zn2InSb
Method: DFT, meta-GGA SCAN
State: single point on PBEsol structure

POSCAR file:
```
Zn2InSb
1.0
4.194 0.000 -0.044
0.000 4.401 0.000
-1.177 0.000 4.631
Zn In Sb
2 1 1
direct
0.836 0.500 0.240
0.921 0.000 0.005
0.527 0.000 0.444
0.216 0.500 0.812
```

Computed properties:
* excess energy over the best structure of this formula in the dataset: 0.0 kJ/mol of atoms
* energy relative to the elements, uncorrected: 0.112 eV/atom

5.
Material: AlSiPt
Method: DFT, meta-GGA SCAN
State: single point on PBEsol structure

POSCAR file:
```
AlSiPt
1.0
2.785 0.000 0.000
0.000 2.785 0.000
-1.393 -1.393 5.598
Si Al Pt
1 1 1
direct
0.671 0.671 0.341
0.995 0.995 0.991
0.334 0.334 0.668
```

Computed properties:
* energy relative to the elements, uncorrected: -0.378 eV/atom

6.
Material: MgNiPb2
Method: DFT, meta-GGA SCAN
State: single point on PBEsol structure

POSCAR file:
```
MgNiPb2
1.0
4.982 0.000 0.000
2.491 4.314 0.000
2.491 1.438 4.068
Pb Mg Ni
2 1 1
direct
0.750 0.750 0.750
0.000 0.000 0.000
0.500 0.500 0.500
0.250 0.250 0.250
```

Computed properties:
* uncorrected energy: -171.2 eV for the cell shown

7.
Material: CsB3Te
Method: DFT, meta-GGA SCAN
State: single point on PBEsol structure

POSCAR file:
```
CsB3Te
1.0
4.721 0.000 0.000
0.000 4.721 0.000
0.000 0.000 4.721
B Cs Te
3 1 1
direct
0.000 0.000 0.500
0.000 0.500 0.000
0.500 0.000 0.000
0.500 0.500 0.500
0.000 0.000 0.000
```

Computed properties:
* energy relative to the elements, uncorrected: 2.105 eV/atom

8.
Material: NaErCu2F8
Method: DFT, meta-GGA SCAN
State: single point on PBEsol structure

POSCAR file:
```
NaErCu2F8
1.0
-1.259 -0.721 5.136
1.188 -5.184 -0.436
4.820 3.939 -1.038
F Cu Er Na
8 2 1 1
direct
0.288 0.428 0.241
0.952 0.812 0.241
0.428 0.952 0.241
0.572 0.712 0.759
0.812 0.288 0.241
0.048 0.572 0.759
0.188 0.048 0.759
0.712 0.188 0.759
0.750 0.250 0.500
0.250 0.750 0.500
0.000 0.000 0.000
0.500 0.500 0.000
```

Computed properties:
* energy relative to the elements, uncorrected: -2.920 eV/atom

9.
Material: Hg2PbSe
Method: DFT, meta-GGA SCAN
State: single point on PBEsol structure

POSCAR file:
```
Hg2PbSe
1.0
4.244 0.000 -0.188
0.000 4.241 0.000
-1.874 -2.120 6.033
Pb Hg Se
1 2 1
direct
0.500 0.500 0.000
0.240 0.240 0.480
0.760 0.760 0.520
0.000 0.000 0.000
```

Computed properties:
* energy relative to the elements, uncorrected: -0.242 eV/atom

10.
Material: TiCoNi2
Method: DFT, meta-GGA SCAN
State: single point on PBEsol structure

POSCAR file:
```
TiCoNi2
1.0
5.006 0.000 0.000
-2.503 4.367 0.000
0.000 0.000 8.187
Ni Co Ti
8 4 4
direct
0.655 0.825 0.000
0.500 0.000 0.750
0.499 0.500 0.750
0.500 0.000 0.250
0.000 0.500 0.750
0.000 0.500 0.250
0.170 0.825 0.000
0.499 0.500 0.250
0.829 0.658 0.500
0.171 0.342 0.000
0.349 0.176 0.500
0.827 0.176 0.500
0.334 0.668 0.500
0.001 0.001 0.255
0.001 0.001 0.745
0.664 0.329 0.000
```

Computed properties:
* uncorrected energy: -268.7 eV for the cell shown

11.
Material: ReSe2Br
Method: DFT, meta-GGA SCAN
State: single point on PBEsol structure

POSCAR file:
```
ReSe2Br
1.0
-0.413 0.190 4.381
-3.827 -1.116 -2.526
3.142 -3.056 0.428
Re Se Br
1 2 1
direct
0.250 0.500 0.750
0.750 0.500 0.250
0.000 0.000 0.000
0.500 0.000 0.500
```

Computed properties:
* excess energy over the best structure of this formula in the dataset: 99.4 kJ/mol of atoms
* energy relative to the elements, uncorrected: 1.245 eV/atom

12.
Material: HfCrAs2Pt
Method: DFT, meta-GGA SCAN
State: single point on PBEsol structure

POSCAR file:
```
HfCrAs2Pt
1.0
4.667 0.000 0.000
0.000 4.920 0.000
0.000 0.000 4.920
Cr As Hf Pt
1 2 1 1
direct
0.500 0.000 0.000
0.000 0.000 0.500
0.000 0.500 0.000
0.000 0.000 0.000
0.500 0.500 0.500
```

Computed properties:
* uncorrected energy: -186.1 eV for the cell shown